[1]
Below is a relaxed CeIn3Pd12 crystal, with properties calculated at the GGA-PBE level.

Geometry as POSCAR:
```
CeIn3Pd12
1.0
4.085 0.000 0.000
0.000 4.085 0.000
0.000 0.000 16.144
Ce In Pd
1 3 12
direct
0.000 0.000 0.000
0.000 0.000 0.256
0.000 0.000 0.500
0.000 0.000 0.744
0.000 0.500 0.128
0.000 0.500 0.377
0.000 0.500 0.623
0.000 0.500 0.872
0.500 0.000 0.128
0.500 0.000 0.377
0.500 0.000 0.623
0.500 0.000 0.872
0.500 0.500 0.000
0.500 0.500 0.252
0.500 0.500 0.500
0.500 0.500 0.748
```

## Properties
Space group = No. 123
Energy relative to the elements = -0.5412 eV per atom

***

[2]
Below is a relaxed CeIn2Pd8 crystal, with properties calculated at the GGA-PBE level.

Geometry as POSCAR:
```
CeIn2Pd8
1.0
7.284 -2.098 0.000
7.284 2.098 0.000
-1.931 0.000 6.211
Ce In Pd
1 2 8
direct
0.000 0.000 0.000
0.281 0.281 0.344
0.719 0.719 0.656
0.095 0.095 0.457
0.179 0.179 0.916
0.358 0.358 0.806
0.460 0.460 0.275
0.540 0.540 0.725
0.642 0.642 0.194
0.821 0.821 0.084
0.905 0.905 0.543
```

## Properties
Space group = No. 12
Energy relative to the elements = -0.5448 eV per atom

***

[3]
Below is a relaxed CeIn3Pd2 crystal, with properties calculated at the GGA-PBE level.

Geometry as POSCAR:
```
CeIn3Pd2
1.0
3.337 1.927 6.929
-3.337 1.927 6.929
0.000 -3.853 6.929
Ce In Pd
2 6 4
direct
0.226 0.226 0.226
0.774 0.774 0.774
0.239 0.733 0.733
0.267 0.267 0.761
0.267 0.761 0.267
0.732 0.239 0.732
0.732 0.733 0.239
0.761 0.267 0.268
0.000 0.000 0.000
0.000 0.500 0.500
0.500 0.000 0.500
0.500 0.500 0.000
```

## Properties
Space group = No. 166
Energy relative to the elements = -0.4048 eV per atom

***

Number 1: uncorrected energy -85.1 eV per formula unit, magnetization 0.00 μB per atom. Number 2: uncorrected energy -58.9 eV per formula unit, magnetization 0.00 μB per atom. Number 3: uncorrected energy -27.0 eV per formula unit, magnetization 0.11 μB per atom.